Record 1
## FePtRh (meta-GGA SCAN)

Data for a crystal of FePtRh relaxed with PBEsol.

```
data_FePtRh
_chemical_formula_sum 'Fe2 Pt2 Rh2'
_symmetry_space_group_name_H-M 'I m m 2'
_symmetry_Int_Tables_number 44
_symmetry_space_group_name_Hall 'I 2 -2'
_cell_length_a 2.6763
_cell_length_b 3.6765
_cell_length_c 8.1385
_cell_angle_alpha 90.00
_cell_angle_beta 90.00
_cell_angle_gamma 90.00
loop_
_atom_site_label
_atom_site_fract_x
_atom_site_fract_y
_atom_site_fract_z
Fe1 0.0000 0.0000 0.0000
Pt1 0.0000 0.0000 0.6661
Rh1 0.0000 0.0000 0.3416
```

## Properties
**Excess energy over the best structure of this formula in the dataset**: 20.5 meV/atom
**Calculated formation energy**: -0.205 eV per atom

=====

Record 2
## RbGaAgF6 (meta-GGA SCAN)

Data for a crystal of RbGaAgF6 relaxed with PBEsol.

```
data_RbGaAgF6
_chemical_formula_sum 'Rb4 Ga4 Ag4 F24'
_symmetry_space_group_name_H-M 'P n m a'
_symmetry_Int_Tables_number 62
_symmetry_space_group_name_Hall '-P 2ac 2n'
_cell_length_a 7.2155
_cell_length_b 7.4267
_cell_length_c 10.1407
_cell_angle_alpha 90.00
_cell_angle_beta 90.00
_cell_angle_gamma 90.00
loop_
_atom_site_label
_atom_site_fract_x
_atom_site_fract_y
_atom_site_fract_z
Rb1 0.0296 0.2500 0.1204
Ga1 0.0000 0.0000 0.5000
Ag1 0.1857 0.2500 0.7546
F1 0.0676 0.7500 0.1608
F2 0.0770 0.2500 0.5052
F3 0.1083 0.5291 0.6690
F4 0.2330 0.5517 0.4250
```

## Properties
**Total DFT energy (no corrections)**: -12.34 eV/atom